# 1
Here is a geometry-optimized La2Mg structure from the Alexandria database. Energies are from GGA-PBE.

## Properties
Its distance to the lowest polymorph of the same formula is 51 meV/atom. Its symmetry is C2/m. The value obtained for the calculated formation energy is -16 meV/atom. The calculation puts the volume at 392.11 Å³ per cell.

Lattice parameters (Å, degrees): 15.823 15.823 5.043 99.13 99.13 18.34
Element x y z (fractional)
La  0.039  0.039  0.289
La  0.123  0.123  0.873
La  0.211  0.211  0.459
La  0.373  0.373  0.621
La  0.627  0.627  0.379
La  0.789  0.789  0.541
La  0.877  0.877  0.127
La  0.961  0.961  0.711
Mg  0.290  0.290  0.039
Mg  0.460  0.460  0.211
Mg  0.540  0.540  0.789
Mg  0.710  0.710  0.961

# 2
Here is a geometry-optimized La7Mg structure from the Alexandria database. Energies are from GGA-PBE.

## Properties
Its symmetry is Fm-3m. The value obtained for the calculated formation energy is -25 meV/atom. The calculation puts the volume at 278.39 Å³ per cell.

Lattice parameters (Å, degrees): 7.329 7.329 7.329 60.00 60.00 60.00
Element x y z (fractional)
La  0.000  0.000  0.000
La  0.000  0.000  0.500
La  0.000  0.500  0.000
La  0.000  0.500  0.500
La  0.500  0.000  0.000
La  0.500  0.000  0.500
La  0.500  0.500  0.000
Mg  0.500  0.500  0.500

# 3
Here is a geometry-optimized La2Mg structure from the Alexandria database. Energies are from GGA-PBE.

## Properties
Its distance to the lowest polymorph of the same formula is 0 meV/atom. Its symmetry is P4/mmm. The value obtained for the calculated formation energy is -67 meV/atom. The calculation puts the volume at 199.39 Å³ per cell.

Lattice parameters (Å, degrees): 3.879 3.879 13.253 90.00 90.00 90.00
Element x y z (fractional)
La  0.000  0.000  0.000
La  0.000  0.000  0.308
La  0.000  0.000  0.692
La  0.500  0.500  0.500
Mg  0.500  0.500  0.154
Mg  0.500  0.500  0.846

# 4
Here is a geometry-optimized La2Mg structure from the Alexandria database. Energies are from GGA-PBE.

## Properties
Its distance to the lowest polymorph of the same formula is 154 meV/atom. Its symmetry is P-62m. The value obtained for the calculated formation energy is 88 meV/atom. The calculation puts the volume at 312.86 Å³ per cell.

Lattice parameters (Å, degrees): 8.348 8.348 5.184 90.00 90.00 120.00
Element x y z (fractional)
La  0.000  0.248  0.000
La  0.000  0.570  0.500
La  0.248  0.000  0.000
La  0.430  0.430  0.500
La  0.570  0.000  0.500
La  0.752  0.752  0.000
Mg  0.000  0.000  0.500
Mg  0.333  0.667  0.000
Mg  0.667  0.333  0.000

# 5
Here is a geometry-optimized LaMg structure from the Alexandria database. Energies are from GGA-PBE.

## Properties
Its distance to the lowest polymorph of the same formula is 97 meV/atom. Its symmetry is C2/m. The value obtained for the calculated formation energy is -16 meV/atom. The calculation puts the volume at 182.15 Å³ per cell.

Lattice parameters (Å, degrees): 6.332 6.332 8.779 109.82 109.82 33.60
Element x y z (fractional)
La  0.000  0.000  0.000
La  0.321  0.321  0.183
La  0.679  0.679  0.817
Mg  0.000  0.000  0.500
Mg  0.347  0.347  0.633
Mg  0.653  0.653  0.367

# 6
Here is a geometry-optimized La4Mg3 structure from the Alexandria database. Energies are from GGA-PBE.

## Properties
Its distance to the lowest polymorph of the same formula is 0 meV/atom. Its symmetry is I4/mmm. The value obtained for the calculated formation energy is -36 meV/atom. The calculation puts the volume at 222.41 Å³ per cell.

Lattice parameters (Å, degrees): 17.116 17.116 17.116 167.84 167.84 17.23
Element x y z (fractional)
La  0.070  0.070  0.000
La  0.348  0.348  0.000
La  0.652  0.652  0.000
La  0.930  0.930  0.000
Mg  0.223  0.223  0.000
Mg  0.500  0.500  0.000
Mg  0.777  0.777  0.000

# 7
Here is a geometry-optimized LaMg structure from the Alexandria database. Energies are from GGA-PBE.

## Properties
Its distance to the lowest polymorph of the same formula is 197 meV/atom. Its symmetry is Fd-3m. The value obtained for the calculated formation energy is 84 meV/atom. The calculation puts the volume at 120.57 Å³ per cell.

Lattice parameters (Å, degrees): 5.545 5.545 5.545 60.00 60.00 60.00
Element x y z (fractional)
La  0.125  0.125  0.125
La  0.875  0.875  0.875
Mg  0.375  0.375  0.375
Mg  0.625  0.625  0.625

# 8
Here is a geometry-optimized La2Mg structure from the Alexandria database. Energies are from GGA-PBE.

## Properties
Its distance to the lowest polymorph of the same formula is 320 meV/atom. Its symmetry is P4/mmm. The value obtained for the calculated formation energy is 253 meV/atom. The calculation puts the volume at 113.55 Å³ per cell.

Lattice parameters (Å, degrees): 5.663 5.663 3.540 90.00 90.00 90.00
Element x y z (fractional)
La  0.000  0.500  0.000
La  0.500  0.000  0.000
Mg  0.000  0.000  0.500

# 9
Here is a geometry-optimized La2Mg structure from the Alexandria database. Energies are from GGA-PBE.

## Properties
Its distance to the lowest polymorph of the same formula is 89 meV/atom. Its symmetry is P-3m1. The value obtained for the calculated formation energy is 22 meV/atom. The calculation puts the volume at 100.20 Å³ per cell.

Lattice parameters (Å, degrees): 3.650 3.650 8.686 90.00 90.00 120.00
Element x y z (fractional)
La  0.333  0.667  0.325
La  0.667  0.333  0.675
Mg  0.000  0.000  0.000

# 10
Here is a geometry-optimized La3Mg4 structure from the Alexandria database. Energies are from GGA-PBE.

## Properties
Its distance to the lowest polymorph of the same formula is 0 meV/atom. Its symmetry is I4/mmm. The value obtained for the calculated formation energy is -46 meV/atom. The calculation puts the volume at 206.29 Å³ per cell.

Lattice parameters (Å, degrees): 16.840 16.840 16.840 168.00 168.00 17.00
Element x y z (fractional)
La  0.000  0.000  0.000
La  0.293  0.293  0.000
La  0.707  0.707  0.000
Mg  0.132  0.132  0.000
Mg  0.426  0.426  0.000
Mg  0.574  0.574  0.000
Mg  0.868  0.868  0.000

# 11
Here is a geometry-optimized LaMg3 structure from the Alexandria database. Energies are from GGA-PBE.

## Properties
Its symmetry is P2/m. The value obtained for the calculated formation energy is -37 meV/atom. The calculation puts the volume at 108.18 Å³ per cell.

Lattice parameters (Å, degrees): 3.229 5.016 6.868 90.00 103.46 90.00
Element x y z (fractional)
La  0.000  0.000  0.000
Mg  0.000  0.000  0.500
Mg  0.407  0.500  0.724
Mg  0.593  0.500  0.276

# 12
Here is a geometry-optimized La3Mg4 structure from the Alexandria database. Energies are from GGA-PBE.

## Properties
Its distance to the lowest polymorph of the same formula is 227 meV/atom. Its symmetry is P6/mmm. The value obtained for the calculated formation energy is 181 meV/atom. The calculation puts the volume at 227.84 Å³ per cell.

Lattice parameters (Å, degrees): 6.621 6.621 6.001 90.00 90.00 120.00
Element x y z (fractional)
La  0.000  0.500  0.000
La  0.500  0.000  0.000
La  0.500  0.500  0.000
Mg  0.000  0.000  0.248
Mg  0.000  0.000  0.752
Mg  0.333  0.667  0.500
Mg  0.667  0.333  0.500

- Which value of calculated formation energy does entry 11 give?
  -37 meV/atom